# 1
The following is a DFT calculation (PBE-GGA) of crystalline BaAsF6 at its relaxed geometry.

```
BaAsF6
1.0
4.851 -3.212 0.000
4.851 3.212 0.000
-3.184 0.000 5.080
Ba As F
1 1 6
Direct
0.000 0.000 0.000
0.500 0.500 0.500
0.216 0.637 0.232
0.289 0.289 0.453
0.363 0.784 0.768
0.637 0.216 0.232
0.711 0.711 0.547
0.784 0.363 0.768
```

Calculated values
uncorrected formation energy = -2.701 eV per atom
M_tot = 1.02 μB/cell
total DFT energy (no corrections) = -39.41 eV per cell
D(E_F) = 0.203 states/eV/atom
polymorph energy (0 for the lowest one) = 0 meV per atom

---

# 2
The following is a DFT calculation (PBE-GGA) of crystalline Ba2AsF2 at its relaxed geometry.

```
Ba2AsF2
1.0
-2.099 2.099 7.441
2.099 -2.099 7.441
2.099 2.099 -7.441
Ba As F
2 1 2
Direct
0.141 0.141 0.000
0.859 0.859 0.000
0.500 0.500 0.000
0.250 0.750 0.500
0.750 0.250 0.500
```

Calculated values
uncorrected formation energy = -2.625 eV per atom
M_tot = 0.00 μB/cell
total DFT energy (no corrections) = -25.36 eV per cell
D(E_F) = 0.257 states/eV/atom

---

# 3
The following is a DFT calculation (PBE-GGA) of crystalline BaAs2F at its relaxed geometry.

```
BaAs2F
1.0
-1.932 1.932 12.923
1.932 -1.932 12.923
1.932 1.932 -12.923
Ba As F
2 4 2
Direct
0.000 0.000 0.000
0.750 0.250 0.500
0.168 0.625 0.043
0.375 0.418 0.543
0.582 0.125 0.957
0.875 0.832 0.457
0.250 0.750 0.500
0.500 0.500 0.000
```

Calculated values
uncorrected formation energy = -1.541 eV per atom
M_tot = 0.00 μB/cell
total DFT energy (no corrections) = -38.52 eV per cell
D(E_F) = 0.534 states/eV/atom
polymorph energy (0 for the lowest one) = 0 meV per atom

---

# 4
The following is a DFT calculation (PBE-GGA) of crystalline BaGaAsF at its relaxed geometry.

```
BaGaAsF
1.0
4.697 0.000 0.000
0.000 4.697 0.000
0.000 0.000 8.500
Ba Ga As F
2 2 2 2
Direct
0.250 0.250 0.162
0.750 0.750 0.838
0.250 0.750 0.500
0.750 0.250 0.500
0.250 0.250 0.643
0.750 0.750 0.357
0.250 0.750 0.000
0.750 0.250 0.000
```

Calculated values
uncorrected formation energy = -1.794 eV per atom
M_tot = 0.00 μB/cell
total DFT energy (no corrections) = -37.29 eV per cell
D(E_F) = 0.273 states/eV/atom

---

Among the records above, which one has the lowest total DFT energy (no corrections)? BaAsF6